VASP calculation (GGA-PBE) on a relaxed KAl2WSe crystal.

Summary:
For the density of states at the Fermi level, the calculation gives 4.200 states/eV per cell. The calculation puts the total energy at -3.90 eV per atom. The calculated volume comes out at 136.7 Å³ per cell. The value obtained for the raw formation energy is 1099 meV/atom.

The structure in POSCAR format:
```
KAl2WSe
1.0
5.376 0.000 0.000
0.000 4.731 0.000
0.000 0.000 5.376
K Se W Al
1 1 1 2
Direct
0.500 0.500 0.500
0.000 0.000 0.000
0.000 0.500 0.000
0.000 0.000 0.500
0.500 0.000 0.000
```